First-principles (PBE-GGA) data for crystalline LaTiAs2Se at its relaxed geometry, as listed in Alexandria via LeMat-Bulk.

a = 4.8557 Å, b = 4.8557 Å, c = 5.0942 Å
α = 90.00°, β = 90.00°, γ = 90.00°
Last column: nearest neighbours and their distance in Å.
Atoms (fractional coordinates):
As 0.0000 0.5000 0.0000  2 Ti 2.43
As 0.5000 0.0000 0.0000  2 Ti 2.43
Ti 0.0000 0.0000 0.0000  4 As 2.43, 2 Se 2.55
Se 0.0000 0.0000 0.5000  2 Ti 2.55
La 0.5000 0.5000 0.5000  4 Se 3.43, 8 As 3.52

DFT total energy in eV/atom: -6.018
DOS at the Fermi energy in states/eV/f.u.: 2.38
E_form (uncorrected) in meV per atom: -897
M_tot in μB per atom: 0.000